Ca3C5 | GGA-PBE | relaxed

Properties
total magnetization: 0.032 μB per atom
ΔH_f (0 K): 0.477 eV/atom
total DFT energy (no corrections): -6.038 eV/atom
energy above the most stable polymorph in this dataset: 0 meV per atom

CIF file:
```
data_Ca3C5
_chemical_formula_sum 'Ca6 C10'
_symmetry_space_group_name_H-M 'P 1'
_symmetry_Int_Tables_number 1
_cell_length_a 7.378
_cell_length_b 7.388
_cell_length_c 5.358
_cell_angle_alpha 90.00
_cell_angle_beta 90.00
_cell_angle_gamma 120.11
loop_
_symmetry_equiv_pos_as_xyz
'x,y,z'
loop_
_atom_site_label
_atom_site_fract_x
_atom_site_fract_y
_atom_site_fract_z
C1 0.989 0.883 0.750
C2 0.011 0.117 0.250
C3 0.118 0.107 0.750
Ca1 0.046 0.381 0.750
C4 0.667 0.334 0.628
Ca2 0.619 0.665 0.750
C5 0.333 0.666 0.372
C6 0.107 0.989 0.250
Ca3 0.665 0.045 0.250
Ca4 0.335 0.955 0.750
C7 0.667 0.334 0.872
Ca5 0.381 0.335 0.250
C8 0.882 0.893 0.250
C9 0.333 0.666 0.128
Ca6 0.954 0.619 0.250
C10 0.893 0.011 0.750
```